A plane-wave DFT calculation with PBE was carried out for a geometry-optimized Zr2Cd3W4N3 structure.

Lattice parameters (Å, degrees): 9.5476 5.5554 14.2271 90.00 102.95 90.00
Space group C2/c (No. 15)
Symmetry-distinct sites (fractional):
1 Zr 0.0509 0.0838 0.3951
2 Cd 0.0000 0.4820 0.7500
3 Cd 0.2170 0.1365 0.7478
4 W 0.1090 0.4288 0.5711
5 W 0.2202 0.4126 0.9291
6 N 0.0750 0.2267 0.0000
7 N 0.2500 0.2500 0.5000

Output
Energy (eV/cell): -396.08

---

A plane-wave DFT calculation with PBE was carried out for a geometry-optimized Y3CdN structure.

Lattice parameters (Å, degrees): 6.8411 9.6176 6.8138 90.00 90.00 90.00
Space group Imma (No. 74)
Symmetry-distinct sites (fractional):
1 Y 0.0000 0.2500 0.0517
2 Y 0.2500 0.0259 0.7500
3 Cd 0.0000 0.2500 0.5032
4 N 0.0000 0.0000 0.0000

Output
Energy (eV/cell): -132.04